Here is a geometry-optimized LiMn3O6 structure from Alexandria via LeMat-Bulk. Energies are from PBE+U.

Computed properties:
SG: C2/m (12)
calculated volume: 114.38 Å³/f.u.
final energy: -69.4 eV per formula unit
total moment: 10.00 μB per formula unit
relative energy among the computed polymorphs: 19 meV/atom

```
10
Lattice="2.6189 -4.3535 0.0000 2.6189 4.3535 0.0000 -1.7770 0.0000 5.0159" Properties=species:S:1:pos:R:3 pbc="T T T"
Li 0.0000 0.0000 0.0000
Mn 1.7304 2.9075 2.5080
Mn 1.7304 0.0000 2.5080
Mn 1.7304 -2.9075 2.5080
O 0.8131 1.4332 1.5455
O -0.2457 0.0000 3.5860
O 0.8131 -1.4332 1.5455
O 2.6478 1.4332 3.4704
O 3.7065 0.0000 1.4299
O 2.6478 -1.4332 3.4704
```